A relaxed Ge2IrSe6 crystal, computed with PBE.

Calculated values
* space group: No. 15
* uncorrected formation energy: -1.44 eV per formula unit

a = 8.1691 Å, b = 8.1691 Å, c = 6.5261 Å
α = 98.28°, β = 98.28°, γ = 85.56°
Element x y z (fractional)
Ge 0.1044 0.2735 0.3366
Ge 0.2735 0.1044 0.8366
Ge 0.7265 0.8956 0.1634
Ge 0.8956 0.7265 0.6634
Ir 0.4042 0.5958 0.7500
Ir 0.5958 0.4042 0.2500
Se 0.0153 0.2136 0.6540
Se 0.1317 0.6171 0.8821
Se 0.2136 0.0153 0.1540
Se 0.3122 0.4866 0.3717
Se 0.3829 0.8683 0.6179
Se 0.4866 0.3122 0.8717
Se 0.5134 0.6878 0.1283
Se 0.6171 0.1317 0.3821
Se 0.6878 0.5134 0.6283
Se 0.7864 0.9847 0.8460
Se 0.8683 0.3829 0.1179
Se 0.9847 0.7864 0.3460